# 1
Material: Si2TeCl
Method: DFT, PBE
State: optimized geometry

```
Si2TeCl
1.0
-3.633 -6.477 -1.279
6.586 -3.455 -1.214
1.684 -5.737 2.071
Si Cl Te
4 2 2
Cartesian
-1.041 -5.941 -0.439
2.343 -8.013 0.623
3.874 -13.007 -0.633
4.098 -4.376 -0.396
1.477 -4.966 -1.246
4.873 -7.079 -0.195
-0.236 -8.590 -0.227
0.000 0.000 0.000
```

## Properties
Space-group type: I-42d

# 2
Material: Si2TeCl
Method: DFT, PBE
State: optimized geometry

```
Si2TeCl
1.0
-0.335 -2.596 -4.067
-0.281 -4.823 0.226
-4.143 -2.236 -1.107
Si Te Cl
2 1 1
Cartesian
0.000 0.000 0.000
-1.190 -2.414 -1.237
-3.569 -7.242 -3.710
-2.379 -4.828 -2.474
```

## Properties
Space-group type: F-43m

# 3
Material: SiTeCl
Method: DFT, PBE
State: optimized geometry

```
SiTeCl
1.0
-1.418 -2.853 3.787
4.518 -0.538 -1.948
1.112 2.102 2.000
Cl Te Si
1 1 1
Cartesian
0.079 0.150 0.143
3.141 -0.174 1.045
0.993 -1.265 2.652
```

## Properties
Space-group type: P3m1

# 4
Material: Si2TeCl
Method: DFT, PBE
State: optimized geometry

```
Si2TeCl
1.0
6.742 -0.009 0.000
4.504 5.016 0.000
-5.623 -2.504 2.750
Te Cl Si
1 1 2
Cartesian
5.623 2.504 0.000
3.371 -0.004 1.375
2.252 2.508 1.375
0.000 0.000 0.000
```

## Properties
Space-group type: I-4m2

# 5
Material: SiTeCl
Method: DFT, PBE
State: optimized geometry

```
SiTeCl
1.0
-0.847 -4.792 0.253
3.339 -3.153 -1.629
2.496 -2.752 3.153
Cl Te Si
1 1 1
Cartesian
0.000 0.000 0.000
3.741 -8.023 1.333
2.494 -5.349 0.889
```

## Properties
Space-group type: F-43m

# 6
Material: SiTeCl
Method: DFT, PBE
State: optimized geometry

```
SiTeCl
1.0
9.600 0.000 0.000
0.000 7.175 0.000
0.000 -1.813 6.411
Cl Si Te
4 4 4
Cartesian
8.200 5.356 4.591
1.401 0.006 1.820
3.399 -0.901 5.025
6.201 6.263 1.386
6.113 4.237 0.930
8.287 3.330 4.136
3.487 1.125 5.480
1.313 2.032 2.275
3.637 3.240 1.639
5.964 2.122 4.772
8.437 3.029 1.566
1.164 2.333 4.844
```

## Properties
Space-group type: P2_1/c

Asked for volume across the records above, the calculation gives 193.7; 80.0; 65.9; 93.1; 81.8; 441.6 Å³ per cell in order.
Asked for magnetization across the records above, the calculation gives 0.00; 0.00; 0.00; 0.00; 0.00; 0.00 Bohr magnetons per cell in order.
Asked for raw total energy across the records above, the calculation gives -14.1; -13.7; -9.8; -13.8; -9.5; -11.4 eV/f.u. in order.